IrAuBr2 at its PBEsol-relaxed geometry. Source: Alexandria, functional meta-GGA SCAN.

Values from the calculation:
Total magnetization in μB per formula unit: 0.00
Distance to the lowest polymorph of the same formula in meV/atom: 294
Total DFT energy (no corrections) in eV/cell: -176.68

Geometry as extended XYZ:
```
4
Lattice="1.836 1.060 7.069 -1.836 1.060 7.069 0.000 -2.120 7.069" Properties=species:S:1:pos:R:3 pbc="T T T"
Ir 0.000 0.000 0.000
Au 0.000 0.000 10.603
Br 0.000 0.000 5.682
Br 0.000 0.000 15.523
```